(1)
! BaH2S2O8 | Alexandria | PBEsol | relaxed; values from VASP
! N(E_F), states/eV per cell: 0.000
! DFT total energy, eV/atom: -6.272
&SYSTEM
  ibrav = 0, nat = 52, ntyp = 4
/
ATOMIC_SPECIES
Ba 137.33 Ba.upf
H 1.01 H.upf
S 32.06 S.upf
O 16.00 O.upf
CELL_PARAMETERS angstrom
4.652 0.000 0.000
0.000 10.800 0.000
0.000 0.000 12.978
ATOMIC_POSITIONS crystal
Ba 0.013 0.063 0.342
Ba 0.487 0.937 0.842
Ba 0.513 0.437 0.658
Ba 0.987 0.563 0.158
H 0.031 0.580 0.857
H 0.174 0.252 0.098
H 0.326 0.748 0.598
H 0.469 0.420 0.357
H 0.531 0.920 0.143
H 0.674 0.248 0.902
H 0.826 0.752 0.402
H 0.969 0.080 0.643
S 0.061 0.214 0.816
S 0.062 0.421 0.431
S 0.438 0.579 0.931
S 0.439 0.786 0.316
S 0.561 0.286 0.184
S 0.562 0.079 0.569
S 0.938 0.921 0.069
S 0.939 0.714 0.684
O 0.000 0.444 0.540
O 0.000 0.944 0.960
O 0.021 0.320 0.748
O 0.021 0.798 0.104
O 0.045 0.019 0.137
O 0.046 0.598 0.730
O 0.099 0.571 0.931
O 0.115 0.737 0.583
O 0.143 0.802 0.352
O 0.357 0.198 0.852
O 0.385 0.263 0.083
O 0.401 0.429 0.431
O 0.454 0.402 0.230
O 0.455 0.981 0.637
O 0.479 0.202 0.604
O 0.479 0.680 0.248
O 0.500 0.056 0.460
O 0.500 0.556 0.040
O 0.521 0.180 0.252
O 0.521 0.702 0.896
O 0.545 0.481 0.863
O 0.546 0.902 0.270
O 0.599 0.929 0.069
O 0.615 0.763 0.417
O 0.643 0.698 0.648
O 0.857 0.302 0.148
O 0.885 0.237 0.917
O 0.901 0.071 0.569
O 0.954 0.098 0.770
O 0.955 0.519 0.363
O 0.979 0.298 0.396
O 0.979 0.820 0.752

***

(2)
! ZnHg4Te5 | Alexandria | PBEsol | relaxed; values from VASP
! Formation energy from raw total energies, eV per atom: -0.181
! N(E_F), states/eV per cell: 0.365
&SYSTEM
  ibrav = 0, nat = 10, ntyp = 3
/
ATOMIC_SPECIES
Zn 65.41 Zn.upf
Hg 200.59 Hg.upf
Te 127.60 Te.upf
CELL_PARAMETERS angstrom
2.268 1.309 18.558
-2.268 1.309 18.558
0.000 -2.619 18.558
ATOMIC_POSITIONS crystal
Zn 0.000 0.000 0.000
Hg 0.201 0.201 0.201
Hg 0.398 0.398 0.398
Hg 0.603 0.603 0.603
Hg 0.800 0.800 0.800
Te 0.047 0.047 0.047
Te 0.252 0.252 0.252
Te 0.449 0.449 0.449
Te 0.654 0.654 0.654
Te 0.850 0.850 0.850